(1)
Here is CuIr2Ru at its PBEsol-relaxed geometry from Alexandria via LeMat-Bulk. Energies are from meta-GGA SCAN.

a b c (Å): 2.695 2.695 7.309
angles (deg): 90.00 90.00 90.00
Fractional positions:
Cu  0.000  0.000  0.000
Ir  0.500  0.500  0.249
Ir  0.500  0.500  0.751
Ru  0.000  0.000  0.500

Output
E = -48.034 eV per atom
crystal system = tetragonal
calculated volume = 53 Å³ per cell
space-group type = P4/mmm
density = 17.17 Mg/m³
magnetic moment = 0.000 Bohr magnetons per cell



(2)
Here is Cu2IrRu at its PBEsol-relaxed geometry from Alexandria via LeMat-Bulk. Energies are from meta-GGA SCAN.

a b c (Å): 2.694 2.694 6.962
angles (deg): 90.00 90.00 90.00
Fractional positions:
Cu  0.000  0.000  0.000
Cu  0.500  0.500  0.226
Ir  0.000  0.000  0.489
Ru  0.500  0.500  0.741

Output
E = -34.021 eV per atom
crystal system = tetragonal
calculated volume = 51 Å³ per cell
space-group type = P4mm
density = 13.81 Mg/m³
magnetic moment = 0.000 Bohr magnetons per cell



(3)
Here is CuIr2Ru at its PBEsol-relaxed geometry from Alexandria via LeMat-Bulk. Energies are from meta-GGA SCAN.

a b c (Å): 4.654 4.654 4.654
angles (deg): 132.86 132.86 68.88
Fractional positions:
Cu  0.000  0.000  0.000
Ir  0.500  0.500  0.000
Ir  0.750  0.250  0.500
Ru  0.250  0.750  0.500

Output
E = -47.940 eV per atom
crystal system = tetragonal
calculated volume = 53 Å³ per cell
space-group type = I-4m2
density = 17.14 Mg/m³
magnetic moment = 0.000 Bohr magnetons per cell



(4)
Here is CuIr2Ru at its PBEsol-relaxed geometry from Alexandria via LeMat-Bulk. Energies are from meta-GGA SCAN.

a b c (Å): 2.692 3.720 5.302
angles (deg): 90.00 90.00 90.00
Fractional positions:
Cu  0.000  0.000  0.000
Ir  0.500  0.500  0.247
Ir  0.500  0.500  0.753
Ru  0.000  0.000  0.500

Output
E = -48.012 eV per atom
crystal system = orthorhombic
calculated volume = 53 Å³ per cell
space-group type = Pmmm
density = 17.17 Mg/m³
magnetic moment = 0.000 Bohr magnetons per cell



(5)
Here is CuIr2Ru at its PBEsol-relaxed geometry from Alexandria via LeMat-Bulk. Energies are from meta-GGA SCAN.

a b c (Å): 8.692 8.692 8.692
angles (deg): 17.77 17.77 17.77
Fractional positions:
Cu  0.000  0.000  0.000
Ir  0.251  0.251  0.251
Ir  0.749  0.749  0.749
Ru  0.500  0.500  0.500

Output
E = -48.055 eV per atom
crystal system = trigonal
calculated volume = 53 Å³ per cell
space-group type = R-3m
density = 17.07 Mg/m³
magnetic moment = 0.000 Bohr magnetons per cell



(6)
Here is Cu2IrRu at its PBEsol-relaxed geometry from Alexandria via LeMat-Bulk. Energies are from meta-GGA SCAN.

a b c (Å): 4.496 4.496 4.570
angles (deg): 99.62 99.62 34.12
Fractional positions:
Cu  0.250  0.250  0.249
Cu  0.750  0.750  0.751
Ir  0.000  0.000  0.500
Ru  0.500  0.500  0.000

Output
E = -33.904 eV per atom
crystal system = monoclinic
calculated volume = 51 Å³ per cell
space-group type = C2/m
density = 13.69 Mg/m³
magnetic moment = 0.000 Bohr magnetons per cell



(7)
Here is CuIrRu at its PBEsol-relaxed geometry from Alexandria via LeMat-Bulk. Energies are from meta-GGA SCAN.

a b c (Å): 4.526 4.526 4.526
angles (deg): 145.31 131.82 60.72
Fractional positions:
Cu  0.000  0.000  0.000
Ir  0.332  0.332  0.000
Ru  0.667  0.667  0.000

Output
E = -40.294 eV per atom
crystal system = orthorhombic
calculated volume = 39 Å³ per cell
space-group type = Imm2
density = 15.21 Mg/m³
magnetic moment = 0.000 Bohr magnetons per cell



(8)
Here is CuIr2Ru at its PBEsol-relaxed geometry from Alexandria via LeMat-Bulk. Energies are from meta-GGA SCAN.

a b c (Å): 4.249 4.249 4.249
angles (deg): 60.00 60.00 60.00
Fractional positions:
Cu  0.000  0.000  0.000
Ir  0.500  0.500  0.500
Ir  0.750  0.750  0.750
Ru  0.250  0.250  0.250

Output
E = -47.665 eV per atom
crystal system = cubic
calculated volume = 54 Å³ per cell
space-group type = F-43m
density = 16.81 Mg/m³
magnetic moment = 1.040 Bohr magnetons per cell